An optimized crystal structure of Ba2TeAu2, computed with PBE-GGA.

Geometry as POSCAR:
```
Ba2TeAu2
1.0
9.159 0.000 0.000
0.000 9.159 0.000
0.000 0.000 4.428
Te Au Ba
2 4 4
direct
0.000 0.000 0.000
0.500 0.500 0.000
0.113 0.613 0.500
0.613 0.887 0.500
0.887 0.387 0.500
0.387 0.113 0.500
0.324 0.824 0.000
0.824 0.676 0.000
0.676 0.176 0.000
0.176 0.324 0.000
```

## Properties
Calculated volume in Å³ per cell: 371.4
Size of the total moment in μB/f.u.: 0.000
Offset from the most stable computed form in kcal/mol of atoms: 1.974
ΔE_f (raw) in eV per atom: -0.853